# Pr2HoErTm2 (PBE, relaxed)
data_Pr2HoErTm2
_cell_length_a 5.6391
_cell_length_b 7.0052
_cell_length_c 9.7763
_cell_angle_alpha 90.00
_cell_angle_beta 90.00
_cell_angle_gamma 90.00
_symmetry_space_group_name_H-M 'P 1'
_symmetry_Int_Tables_number 1
_symmetry_space_group_name_Hall 'P 1'
loop_
_atom_site_label
_atom_site_fract_x
_atom_site_fract_y
_atom_site_fract_z
_atom_site_occupancy
Pr1 0.5000 0.0075 0.0000 1
Pr2 0.0000 0.2576 0.1784 1
Pr3 0.5000 0.5075 0.0000 1
Pr4 0.0000 0.7576 0.8216 1
Ho1 0.5000 0.2577 0.6589 1
Ho2 0.5000 0.7577 0.3411 1
Er1 0.0000 0.0076 0.5000 1
Er2 0.0000 0.5077 0.5000 1
Tm1 0.0000 0.2575 0.8353 1
Tm2 0.5000 0.2577 0.3340 1
Tm3 0.0000 0.7575 0.1647 1
Tm4 0.5000 0.7577 0.6660 1
# D(E_F), states/eV per cell: 18.204
# Formation energy, kJ/mol of formula units: 41